# 1
# ErAgAsO

A relaxed structure of ErAgAsO (PBE-GGA, OQMD).

abc: 3.6691 7.8191 5.9258
angles: 90.00 90.00 90.00
Fractional coordinates of all 8 atoms:
1 Er 0.0000 0.2042 0.0000
2 Er 0.0000 0.7958 0.5000
3 Ag 0.5000 0.3870 0.5265
4 Ag 0.5000 0.6130 0.0265
5 As 0.0000 0.1623 0.5006
6 As 0.0000 0.8377 0.0006
7 O 0.5000 0.3297 0.0088
8 O 0.5000 0.6703 0.5088

Values from the calculation:
E, eV for the cell shown: -44.188
Total moment, μB per cell: 0.003
Volume, Å³/f.u.: 85.0
Space-group type: No. 26

---

# 2
# RbCuReIr

A relaxed structure of RbCuReIr (PBE-GGA, OQMD).

abc: 4.6415 4.6415 4.6415
angles: 60.00 60.00 60.00
Fractional coordinates of all 4 atoms:
1 Rb 0.0000 0.0000 0.0000
2 Cu 0.5000 0.5000 0.5000
3 Re 0.2500 0.2500 0.2500
4 Ir 0.7500 0.7500 0.7500

Values from the calculation:
E, eV for the cell shown: -17.762
Total moment, μB per cell: 2.811
Volume, Å³/f.u.: 70.7
Space-group type: No. 216

---

# 3
# RbNdNiSe3

A relaxed structure of RbNdNiSe3 (PBE-GGA, OQMD).

abc: 7.9197 7.9197 11.1274
angles: 90.00 90.00 149.39
Fractional coordinates of all 12 atoms:
1 Rb 0.2425 0.7575 0.7500
2 Rb 0.7575 0.2425 0.2500
3 Nd 0.5000 0.5000 0.0000
4 Nd 0.5000 0.5000 0.5000
5 Ni 0.0287 0.9713 0.2500
6 Ni 0.9713 0.0287 0.7500
7 Se 0.1235 0.8765 0.0778
8 Se 0.1235 0.8765 0.4222
9 Se 0.4429 0.5571 0.2500
10 Se 0.5571 0.4429 0.7500
11 Se 0.8765 0.1235 0.5778
12 Se 0.8765 0.1235 0.9222

Values from the calculation:
E, eV for the cell shown: -57.310
Total moment, μB per cell: 3.797
Volume, Å³/f.u.: 177.7
Space-group type: No. 63